[1]
The following is a PBE calculation of an optimized crystal structure of NaLaPt2, from the Alexandria database.

Cell: 3.771 4.775 4.775 Å, 90.00 90.00 90.00°
Atoms (fractional coordinates):
Na 0.500 0.500 0.500
Pt 0.000 0.000 0.500
Pt 0.000 0.500 0.000
La 0.500 0.000 0.000

Computed properties:
N(E_F), states/eV per atom: 0.639
Formation energy from the elements, eV per atom: -0.651

[2]
The following is a PBE calculation of an optimized crystal structure of NaLaPt2, from the Alexandria database.

Cell: 7.766 7.766 6.229 Å, 51.44 51.44 90.00°
Atoms (fractional coordinates):
Na 0.500 0.500 0.000
Na 0.250 0.750 0.500
Pt 0.628 0.125 0.250
Pt 0.122 0.625 0.250
Pt 0.375 0.372 0.750
Pt 0.875 0.878 0.750
La 0.000 0.000 0.000
La 0.750 0.250 0.500

Computed properties:
N(E_F), states/eV per atom: 0.120
Formation energy from the elements, eV per atom: -0.512

[3]
The following is a PBE calculation of an optimized crystal structure of NaLa2Pt, from the Alexandria database.

Cell: 3.665 3.665 9.594 Å, 90.00 90.00 90.00°
Atoms (fractional coordinates):
Na 0.500 0.500 0.500
Pt 0.500 0.500 0.000
La 0.000 0.000 0.821
La 0.000 0.000 0.179

Computed properties:
N(E_F), states/eV per atom: 0.878
Formation energy from the elements, eV per atom: -0.495

[4]
The following is a PBE calculation of an optimized crystal structure of NaLa2Pt2, from the Alexandria database.

Cell: 5.407 5.407 6.959 Å, 67.14 67.14 90.00°
Atoms (fractional coordinates):
Na 0.000 0.000 0.000
Pt 0.750 0.250 0.500
Pt 0.250 0.750 0.500
La 0.329 0.329 0.341
La 0.671 0.671 0.659

Computed properties:
N(E_F), states/eV per atom: 0.846
Offset from the most stable computed form, meV per atom: 415
Formation energy from the elements, eV per atom: -0.475

[5]
The following is a PBE calculation of an optimized crystal structure of NaLa3Pt, from the Alexandria database.

Cell: 5.807 5.807 5.807 Å, 90.00 90.00 90.00°
Atoms (fractional coordinates):
Na 0.500 0.500 0.500
Pt 0.000 0.000 0.000
La 0.000 0.500 0.000
La 0.000 0.000 0.500
La 0.500 0.000 0.000

Computed properties:
N(E_F), states/eV per atom: 2.525
Offset from the most stable computed form, meV per atom: 0
Formation energy from the elements, eV per atom: -0.317

[6]
The following is a PBE calculation of an optimized crystal structure of NaLa2Pt, from the Alexandria database.

Cell: 4.303 4.303 9.648 Å, 77.12 77.12 60.00°
Atoms (fractional coordinates):
Na 0.500 0.500 0.499
La 0.055 0.055 0.835
La 0.278 0.278 0.165
Pt 0.666 0.666 0.001

Computed properties:
N(E_F), states/eV per atom: 0.782
Formation energy from the elements, eV per atom: -0.548

[7]
The following is a PBE calculation of an optimized crystal structure of NaLaPt10, from the Alexandria database.

Cell: 4.410 5.440 9.345 Å, 90.00 90.00 90.00°
Atoms (fractional coordinates):
Na 0.000 0.500 0.500
La 0.000 0.000 0.000
Pt 0.000 0.000 0.337
Pt 0.000 0.500 0.829
Pt 0.000 0.500 0.171
Pt 0.000 0.000 0.663
Pt 0.500 0.000 0.500
Pt 0.500 0.500 0.000
Pt 0.500 0.248 0.249
Pt 0.500 0.752 0.751
Pt 0.500 0.752 0.249
Pt 0.500 0.248 0.751

Computed properties:
N(E_F), states/eV per atom: 0.588
Formation energy from the elements, eV per atom: -0.469

[8]
The following is a PBE calculation of an optimized crystal structure of NaLaPt3, from the Alexandria database.

Cell: 5.390 5.390 5.390 Å, 90.00 90.00 90.00°
Atoms (fractional coordinates):
Na 0.500 0.500 0.500
Pt 0.000 0.500 0.000
Pt 0.000 0.000 0.500
Pt 0.500 0.000 0.000
La 0.000 0.000 0.000

Computed properties:
N(E_F), states/eV per atom: 2.245
Offset from the most stable computed form, meV per atom: 312
Formation energy from the elements, eV per atom: 0.512

[9]
The following is a PBE calculation of an optimized crystal structure of NaLa2Sb4Pt3, from the Alexandria database.

Cell: 4.692 4.692 11.002 Å, 90.00 90.00 90.00°
Atoms (fractional coordinates):
Na 0.500 0.500 0.500
La 0.500 0.000 0.248
La 0.000 0.500 0.752
Sb 0.500 0.500 0.000
Sb 0.000 0.000 0.000
Sb 0.500 0.000 0.640
Sb 0.000 0.500 0.360
Pt 0.000 0.000 0.500
Pt 0.500 0.000 0.880
Pt 0.000 0.500 0.120

Computed properties:
Formation energy (no corrections), eV/atom: -0.798
N(E_F), states/eV per atom: 0.322

[10]
The following is a PBE calculation of an optimized crystal structure of NaLa2Sb3Pt4, from the Alexandria database.

Cell: 4.574 4.574 10.979 Å, 90.00 90.00 90.00°
Atoms (fractional coordinates):
Na 0.500 0.500 0.500
La 0.500 0.000 0.233
La 0.000 0.500 0.767
Sb 0.000 0.000 0.500
Sb 0.500 0.000 0.871
Sb 0.000 0.500 0.129
Pt 0.500 0.500 0.000
Pt 0.000 0.000 0.000
Pt 0.500 0.000 0.636
Pt 0.000 0.500 0.364

Computed properties:
Formation energy (no corrections), eV/atom: -0.842
N(E_F), states/eV per atom: 0.521

[11]
The following is a PBE calculation of an optimized crystal structure of NaLaPt2Se, from the Alexandria database.

Cell: 5.138 6.686 5.138 Å, 90.00 90.00 90.00°
Atoms (fractional coordinates):
Na 0.000 0.500 0.000
Se 0.500 0.500 0.500
Pt 0.000 0.000 0.500
Pt 0.500 0.000 0.000
La 0.000 0.000 0.000

Computed properties:
Formation energy (no corrections), eV/atom: 0.588
N(E_F), states/eV per atom: 0.769

[12]
The following is a PBE calculation of an optimized crystal structure of NaSrLaPt, from the Alexandria database.

Cell: 4.881 4.881 12.875 Å, 90.00 90.00 90.00°
Atoms (fractional coordinates):
Na 0.250 0.750 0.500
Na 0.750 0.250 0.500
Sr 0.750 0.750 0.246
Sr 0.250 0.250 0.754
La 0.750 0.250 0.000
La 0.250 0.750 0.000
Pt 0.750 0.750 0.870
Pt 0.250 0.250 0.130

Computed properties:
N(E_F), states/eV per atom: 0.681
Formation energy from the elements, eV per atom: -0.400